# 1
## Ho3Zr3FeSb2 (PBE)

Data for a relaxed structure of Ho3Zr3FeSb2.

abc: 7.882 7.882 4.038
angles: 90.00 90.00 120.00
Sites, in units of the cell vectors:
Zr (0.226, 0.000, 0.500)
Fe (0.000, 0.000, 0.000)
Zr (0.000, 0.226, 0.500)
Sb (0.333, 0.667, 0.500)
Ho (0.398, 0.398, 0.000)
Sb (0.667, 0.333, 0.500)
Zr (0.774, 0.774, 0.500)
Ho (0.602, 0.000, 0.000)
Ho (0.000, 0.602, 0.000)

- energy relative to the lowest polymorph listed for this composition (meV/atom) = 0.0
- SG = P-62m (189)

---

# 2
## Ho3Zr3FeSb2 (PBE)

Data for a relaxed structure of Ho3Zr3FeSb2.

abc: 8.041 8.041 3.756
angles: 90.00 90.00 120.00
Sites, in units of the cell vectors:
Zr (0.599, 0.000, 0.000)
Zr (0.401, 0.401, 0.000)
Sb (0.667, 0.333, 0.500)
Zr (0.000, 0.599, 0.000)
Fe (0.000, 0.000, 0.000)
Ho (0.000, 0.244, 0.500)
Ho (0.756, 0.756, 0.500)
Ho (0.244, 0.000, 0.500)
Sb (0.333, 0.667, 0.500)

- energy relative to the lowest polymorph listed for this composition (meV/atom) = 163.8
- SG = P-62m (189)

---

# 3
## HoScFe (PBE)

Data for a relaxed structure of HoScFe.

abc: 4.501 4.501 4.501
angles: 60.00 60.00 60.00
Sites, in units of the cell vectors:
Fe (0.000, 0.000, 0.000)
Ho (0.250, 0.250, 0.250)
Sc (0.750, 0.750, 0.750)

- E_form (eV per atom) = 0.165
- energy relative to the lowest polymorph listed for this composition (meV/atom) = 0.0
- SG = F-43m (216)

---

# 4
## Ho3Sc3FeTe2 (PBE)

Data for a relaxed structure of Ho3Sc3FeTe2.

abc: 8.076 8.076 3.812
angles: 90.00 90.00 120.00
Sites, in units of the cell vectors:
Te (0.667, 0.333, 0.500)
Sc (0.392, 0.392, 0.000)
Ho (0.760, 0.760, 0.500)
Ho (0.240, 0.000, 0.500)
Sc (0.608, 0.000, 0.000)
Fe (0.000, 0.000, 0.000)
Te (0.333, 0.667, 0.500)
Ho (0.000, 0.240, 0.500)
Sc (0.000, 0.608, 0.000)

- energy relative to the lowest polymorph listed for this composition (meV/atom) = 128.8
- SG = P-62m (189)

---

# 5
## Ho3Sc3FeTe2 (PBE)

Data for a relaxed structure of Ho3Sc3FeTe2.

abc: 7.921 7.921 3.967
angles: 90.00 90.00 120.00
Sites, in units of the cell vectors:
Ho (0.000, 0.613, 0.000)
Sc (0.227, 0.000, 0.500)
Sc (0.000, 0.227, 0.500)
Te (0.667, 0.333, 0.500)
Sc (0.773, 0.773, 0.500)
Ho (0.387, 0.387, 0.000)
Fe (0.000, 0.000, 0.000)
Ho (0.613, 0.000, 0.000)
Te (0.333, 0.667, 0.500)

- energy relative to the lowest polymorph listed for this composition (meV/atom) = 0.0
- SG = P-62m (189)

---

# 6
## HoTlFeSe3 (PBE)

Data for a relaxed structure of HoTlFeSe3.

abc: 8.650 4.033 10.402
angles: 90.00 110.03 90.00
Sites, in units of the cell vectors:
Ho (0.176, 0.250, 0.146)
Se (0.275, 0.250, 0.447)
Se (0.420, 0.750, 0.178)
Tl (0.255, 0.750, 0.720)
Tl (0.745, 0.250, 0.280)
Fe (0.430, 0.750, 0.414)
Se (0.943, 0.750, 0.141)
Se (0.580, 0.250, 0.822)
Se (0.057, 0.250, 0.859)
Se (0.725, 0.750, 0.553)
Ho (0.824, 0.750, 0.854)
Fe (0.570, 0.250, 0.586)

- SG = P2_1/m (11)
- total DFT energy (no corrections) (eV per atom) = -5.235

---

# 7
## HoTlFeSe3 (PBE)

Data for a relaxed structure of HoTlFeSe3.

abc: 11.401 4.253 12.462
angles: 90.00 90.00 90.00
Sites, in units of the cell vectors:
Se (0.601, 0.000, 0.060)
Tl (0.325, 0.500, 0.503)
Fe (0.249, 0.000, 0.298)
Se (0.899, 0.500, 0.560)
Tl (0.175, 0.000, 0.003)
Se (0.720, 0.500, 0.300)
Se (0.043, 0.500, 0.831)
Se (0.101, 0.000, 0.440)
Se (0.220, 0.500, 0.200)
Tl (0.825, 0.500, 0.997)
Se (0.457, 0.000, 0.331)
Se (0.543, 0.500, 0.669)
Fe (0.749, 0.000, 0.202)
Se (0.957, 0.000, 0.169)
Ho (0.482, 0.500, 0.176)
Fe (0.751, 0.500, 0.702)
Ho (0.982, 0.500, 0.324)
Se (0.399, 0.500, 0.940)
Ho (0.018, 0.000, 0.676)
Fe (0.251, 0.500, 0.798)
Ho (0.518, 0.000, 0.824)
Se (0.280, 0.000, 0.700)
Tl (0.675, 0.000, 0.497)
Se (0.780, 0.000, 0.800)

- SG = Pnma (62)
- total DFT energy (no corrections) (eV per atom) = -5.157

---

# 8
## Ho3FeSi3 (PBE)

Data for a relaxed structure of Ho3FeSi3.

abc: 5.617 5.617 13.434
angles: 109.60 109.60 43.27
Sites, in units of the cell vectors:
Fe (0.247, 0.247, 0.415)
Ho (0.602, 0.602, 0.919)
Ho (0.748, 0.748, 0.230)
Fe (0.753, 0.753, 0.585)
Ho (0.476, 0.476, 0.621)
Si (0.946, 0.946, 0.758)
Si (0.054, 0.054, 0.242)
Ho (0.524, 0.524, 0.379)
Ho (0.398, 0.398, 0.081)
Ho (0.252, 0.252, 0.770)
Si (0.856, 0.856, 0.457)
Si (0.887, 0.887, 0.924)
Si (0.144, 0.144, 0.543)
Si (0.113, 0.113, 0.076)

- SG = C2/m (12)
- total DFT energy (no corrections) (eV per atom) = -6.220

---

# 9
## HoFeSi2Tc (PBE)

Data for a relaxed structure of HoFeSi2Tc.

abc: 5.672 5.672 5.672
angles: 138.20 138.20 60.60
Sites, in units of the cell vectors:
Tc (0.500, 0.500, 0.000)
Ho (0.250, 0.750, 0.500)
Si (0.877, 0.377, 0.500)
Fe (0.000, 0.000, 0.000)
Si (0.623, 0.123, 0.500)

- SG = I-4m2 (119)
- total DFT energy (no corrections) (eV per atom) = -7.452

---

# 10
## HoTmFe2Si4 (PBE)

Data for a relaxed structure of HoTmFe2Si4.

abc: 3.912 8.511 8.511
angles: 27.10 90.00 90.00
Sites, in units of the cell vectors:
Si (0.000, 0.749, 0.749)
Tm (0.500, 0.609, 0.609)
Si (0.500, 0.958, 0.958)
Si (0.000, 0.043, 0.043)
Fe (0.000, 0.177, 0.177)
Ho (0.000, 0.391, 0.391)
Fe (0.500, 0.823, 0.823)
Si (0.500, 0.250, 0.250)

- SG = Amm2 (38)
- total DFT energy (no corrections) (eV per atom) = -6.523

---

# 11
## YHoFe2Si2 (PBE)

Data for a relaxed structure of YHoFe2Si2.

abc: 4.027 4.027 6.463
angles: 90.00 90.00 90.00
Sites, in units of the cell vectors:
Si (0.500, 0.500, 0.181)
Ho (0.000, 0.000, 0.314)
Fe (0.000, 0.500, 0.002)
Y (0.500, 0.500, 0.681)
Si (0.000, 0.000, 0.821)
Fe (0.500, 0.000, 0.002)

- SG = P4mm (99)
- total DFT energy (no corrections) (eV per atom) = -7.062

---

# 12
## SmHoFe (PBE)

Data for a relaxed structure of SmHoFe.

abc: 4.704 4.704 4.704
angles: 60.00 60.00 60.00
Sites, in units of the cell vectors:
Ho (0.250, 0.250, 0.250)
Sm (0.750, 0.750, 0.750)
Fe (0.000, 0.000, 0.000)

- E_form (eV per atom) = 0.224
- energy relative to the lowest polymorph listed for this composition (meV/atom) = 0.0
- SG = F-43m (216)